Compound: Zr2HgPt2
Source: Alexandria via LeMat-Bulk
Functional: PBE
Structure: optimized geometry

Summary:
The density of states at the Fermi level is 3.83 states/eV/f.u. As for the crystal system: tetragonal. The value obtained for the formation energy is -0.438 eV per atom.

a b c (Å): 3.8672 3.8672 7.6764
angles (deg): 75.41 75.41 90.00
Closest atoms and distances in Å follow each position.
Element x y z (fractional)
Zr  0.3861  0.3861  0.2277  4 Pt 2.75
Zr  0.6139  0.6139  0.7723  4 Pt 2.75
Hg  0.0000  0.0000  0.0000  8 Zr 3.19
Pt  0.7500  0.2500  0.5000  4 Pt 2.73, 4 Zr 2.75
Pt  0.2500  0.7500  0.5000  4 Pt 2.73, 4 Zr 2.75

Compound: ZrHgPt2
Source: Alexandria via LeMat-Bulk
Functional: PBE
Structure: optimized geometry

Summary:
The density of states at the Fermi level is 2.78 states/eV/f.u. As for the crystal system: orthorhombic. The value obtained for the formation energy is -0.431 eV per atom.

a b c (Å): 6.7834 4.9548 3.0819
angles (deg): 90.00 62.98 122.90
Closest atoms and distances in Å follow each position.
Element x y z (fractional)
Hg  0.5000  0.5000  0.0000  8 Pt 2.92, 2 Zr 3.02, 2 Hg 3.08
Pt  0.0000  0.0000  0.0000  4 Zr 2.92, 4 Hg 2.92, 4 Pt 3.02-3.08
Pt  0.5000  0.0000  0.5000  4 Hg 2.92, 4 Zr 2.92, 4 Pt 3.02-3.08
Zr  0.0000  0.5000  0.5000  8 Pt 2.92, 2 Hg 3.02, 2 Zr 3.08

Compound: ZrHg2Pt
Source: Alexandria via LeMat-Bulk
Functional: PBE
Structure: optimized geometry

Summary:
The density of states at the Fermi level is 2.97 states/eV/f.u. For the offset from the most stable computed form, the calculation gives 221 meV per atom. As for the crystal system: tetragonal. The value obtained for the formation energy is -0.122 eV per atom.

a b c (Å): 3.5543 3.5543 6.3101
angles (deg): 90.00 90.00 90.01
Closest atoms and distances in Å follow each position.
Element x y z (fractional)
Hg  0.0000  0.0000  0.0165  4 Pt 2.91, 1 Hg 2.95, 4 Zr 3.02
Hg  0.0000  0.0000  0.4835  4 Pt 2.91, 1 Hg 2.95, 4 Zr 3.02
Pt  0.5000  0.5000  0.2500  8 Hg 2.91, 2 Zr 3.16
Zr  0.5000  0.5000  0.7500  8 Hg 3.02, 2 Pt 3.16

Compound: Zr6HgPt
Source: Alexandria via LeMat-Bulk
Functional: PBE
Structure: optimized geometry

Summary:
The density of states at the Fermi level is 9.49 states/eV/f.u. As for the crystal system: cubic. The value obtained for the formation energy is -0.355 eV per atom.

a b c (Å): 7.8238 7.8240 5.5320
angles (deg): 44.97 44.99 59.97
Closest atoms and distances in Å follow each position.
Element x y z (fractional)
Zr  0.9996  0.5007  0.7445  2 Zr 2.71-2.82
Zr  0.7552  0.9999  0.7443  2 Zr 2.71-2.82
Zr  0.5003  0.2448  0.2545  2 Zr 2.71-2.82
Zr  0.2448  0.0001  0.2557  2 Zr 2.71-2.82
Zr  0.0004  0.4993  0.2555  2 Zr 2.71-2.82
Zr  0.4997  0.7552  0.7455  2 Zr 2.71-2.82
Hg  0.5000  0.5000  0.5000  12 Zr 3.10-3.11
Pt  0.0000  0.0000  0.0000  12 Zr 3.07-3.08

Compound: ZrHg2Pt
Source: Alexandria via LeMat-Bulk
Functional: PBE
Structure: optimized geometry

Summary:
The density of states at the Fermi level is 2.72 states/eV/f.u. For the offset from the most stable computed form, the calculation gives 187 meV per atom. As for the crystal system: monoclinic. The value obtained for the formation energy is -0.156 eV per atom.

a b c (Å): 4.8479 2.9764 5.6381
angles (deg): 81.11 90.00 90.00
Closest atoms and distances in Å follow each position.
Element x y z (fractional)
Hg  0.0000  0.1401  0.0053  2 Pt 2.83, 4 Hg 2.85-2.98, 2 Zr 3.13
Hg  0.0000  0.3599  0.4947  2 Pt 2.83, 4 Hg 2.85-2.98, 2 Zr 3.13
Pt  0.5000  0.2500  0.2500  4 Hg 2.83, 2 Pt 2.98, 2 Zr 2.98
Zr  0.5000  0.7500  0.7500  2 Zr 2.98, 2 Pt 2.98, 8 Hg 3.13-3.23

Compound: ZrHg2Pt
Source: Alexandria via LeMat-Bulk
Functional: PBE
Structure: optimized geometry

Summary:
The density of states at the Fermi level is 2.95 states/eV/f.u. For the offset from the most stable computed form, the calculation gives 0 meV per atom. As for the crystal system: tetragonal. The value obtained for the formation energy is -0.343 eV per atom.

a b c (Å): 3.4553 3.4553 7.0561
angles (deg): 90.00 90.00 90.00
Closest atoms and distances in Å follow each position.
Element x y z (fractional)
Hg  0.0000  0.0000  0.9896  4 Zr 3.13, 8 Hg 3.14-3.46, 1 Pt 3.25
Hg  0.5000  0.5000  0.2687  4 Pt 3.06, 1 Zr 3.14, 4 Hg 3.14
Pt  0.0000  0.0000  0.5287  4 Zr 2.77, 4 Hg 3.06
Zr  0.5000  0.5000  0.7131  4 Pt 2.77

Compound: Zr6Hg3Pt
Source: Alexandria via LeMat-Bulk
Functional: PBE
Structure: optimized geometry

Summary:
The density of states at the Fermi level is 10.94 states/eV/f.u. As for the crystal system: monoclinic. The value obtained for the formation energy is -0.042 eV per atom.

a b c (Å): 7.6905 5.9019 5.9019
angles (deg): 61.33 75.28 75.28
Closest atoms and distances in Å follow each position.
Element x y z (fractional)
Zr  0.3191  0.1119  0.6030  1 Pt 2.72, 3 Hg 2.88-3.02, 2 Zr 2.96-2.99
Zr  0.6809  0.3970  0.8881  1 Pt 2.72, 3 Hg 2.88-3.02, 2 Zr 2.96-2.99
Zr  0.6809  0.8881  0.3970  1 Pt 2.72, 3 Hg 2.88-3.02, 2 Zr 2.96-2.99
Zr  0.3191  0.6030  0.1119  1 Pt 2.72, 3 Hg 2.88-3.02, 2 Zr 2.96-2.99
Zr  0.0721  0.6396  0.6396  1 Pt 3.17, 6 Hg 3.23-3.53, 5 Zr 3.28-3.34
Zr  0.9279  0.3604  0.3604  1 Pt 3.17, 6 Hg 3.23-3.53, 5 Zr 3.28-3.34
Hg  0.3087  0.1166  0.1166  4 Zr 2.88-3.02, 2 Hg 2.95-3.19
Hg  0.6913  0.8834  0.8834  4 Zr 2.88-3.02, 2 Hg 2.95-3.19
Hg  0.0000  0.0000  0.0000  4 Zr 2.89, 2 Hg 2.95
Pt  0.5000  0.5000  0.5000  4 Zr 2.72

Compound: ZrHgPt2
Source: Alexandria via LeMat-Bulk
Functional: PBE
Structure: optimized geometry

Summary:
The density of states at the Fermi level is 4.17 states/eV/f.u. As for the crystal system: tetragonal. The value obtained for the formation energy is -0.435 eV per atom.

a b c (Å): 4.2220 4.2190 4.1110
angles (deg): 90.00 90.00 90.00
Closest atoms and distances in Å follow each position.
Element x y z (fractional)
Hg  0.0000  0.5000  0.5000  8 Pt 2.95, 4 Zr 2.98
Pt  0.0000  0.0000  0.0000  4 Hg 2.95, 4 Zr 2.95, 4 Pt 2.98
Pt  0.5000  0.5000  0.0000  4 Zr 2.95, 4 Hg 2.95, 4 Pt 2.98
Zr  0.5000  0.0000  0.5000  8 Pt 2.95, 4 Hg 2.98